Entry 1:
Material: Er2GaGe2Ir5
Method: DFT, PBE
State: relaxed

Geometry as POSCAR:
```
Er2GaGe2Ir5
1.0
-0.074 3.600 -0.333
-9.275 -0.437 -2.654
-2.682 0.801 9.243
Ga Ir Er Ge
2 10 4 4
Direct
0.000 0.500 0.500
0.000 0.000 0.000
0.500 0.065 0.796
0.500 0.704 0.435
0.500 0.296 0.565
0.500 0.935 0.204
0.500 0.796 0.935
0.500 0.000 0.500
0.500 0.500 0.000
0.500 0.435 0.296
0.500 0.565 0.704
0.500 0.204 0.065
0.000 0.326 0.826
0.000 0.674 0.174
0.000 0.826 0.674
0.000 0.174 0.326
0.000 0.374 0.126
0.000 0.874 0.374
0.000 0.126 0.626
0.000 0.626 0.874
```

Output
As for the magnetic moment: 0.0000 μB per atom. For the formation energy, the calculation gives -618 kJ/mol of formula units.

---

Entry 2:
Material: TbNd6Dy6
Method: DFT, PBE
State: relaxed

Geometry as POSCAR:
```
TbNd6Dy6
1.0
-0.362 3.117 -5.967
4.717 -4.697 1.068
-7.174 -8.063 -3.777
Nd Dy Tb
6 6 1
Direct
0.000 0.000 0.345
0.667 0.333 0.500
0.000 0.000 0.655
0.333 0.667 0.000
0.667 0.333 0.000
0.333 0.667 0.500
0.500 0.000 0.753
0.500 0.000 0.247
0.500 0.500 0.753
0.000 0.500 0.247
0.000 0.500 0.753
0.500 0.500 0.247
0.000 0.000 0.000
```

Output
As for the magnetic moment: 0.0005 μB per atom. For the formation energy, the calculation gives 338 kJ/mol of formula units.

---

Entry 3:
Material: TbSnBr5
Method: DFT, PBE
State: relaxed

Geometry as POSCAR:
```
TbSnBr5
1.0
4.283 0.000 0.000
0.000 8.431 -0.526
0.000 -0.174 13.961
Br Sn Tb
10 2 2
Direct
0.250 0.082 0.320
0.750 0.604 0.297
0.750 0.646 0.859
0.250 0.354 0.141
0.750 0.324 0.486
0.750 0.146 0.932
0.250 0.676 0.514
0.250 0.854 0.068
0.750 0.918 0.680
0.250 0.396 0.703
0.250 0.905 0.865
0.750 0.095 0.135
0.750 0.589 0.647
0.250 0.411 0.353
```

Output
As for the magnetic moment: 0.0000 μB per atom. Its formation energy (no corrections) is -1.3647 eV per atom.

---

Entry 4:
Material: Al2AuBr
Method: DFT, PBE
State: relaxed

Geometry as POSCAR:
```
Al2AuBr
1.0
3.637 0.000 0.000
0.000 3.630 0.000
0.000 0.000 7.247
Al Br Au
2 1 1
Direct
0.000 0.000 0.994
0.500 0.500 0.399
0.500 0.500 0.771
0.000 0.000 0.336
```

Output
As for the magnetic moment: 0.0000 μB per atom. As for the energy above the lowest structure with this stoichiometry: 0.1896 eV per atom. Its formation energy (no corrections) is -0.1656 eV per atom.

---

Entry 5:
Material: YRu2Au
Method: DFT, PBE
State: relaxed

Geometry as POSCAR:
```
YRu2Au
1.0
5.045 0.000 0.000
1.650 4.768 0.000
-3.348 -2.384 2.926
Ru Y Au
2 1 1
Direct
0.250 0.750 0.500
0.000 0.000 0.000
0.500 0.500 0.000
0.750 0.250 0.500
```

Output
As for the magnetic moment: 0.0001 μB per atom. As for the energy above the lowest structure with this stoichiometry: 0.0492 eV per atom. For the formation energy, the calculation gives 1 kJ/mol of formula units.

---

Entry 6:
Material: BaAc4Se7
Method: DFT, PBE
State: relaxed

Geometry as POSCAR:
```
BaAc4Se7
1.0
4.398 0.000 0.000
-2.199 7.160 -1.946
0.000 -0.142 13.175
Ac Se Ba
4 7 1
Direct
0.704 0.408 0.818
0.315 0.630 0.208
0.108 0.217 0.421
0.010 0.020 0.003
0.958 0.916 0.210
0.475 0.950 0.458
0.728 0.456 0.346
0.352 0.704 0.955
0.669 0.338 0.055
0.245 0.489 0.651
0.054 0.107 0.792
0.883 0.766 0.583
```

Output
As for the magnetic moment: 0.0000 μB per atom. Its formation energy (no corrections) is -1.9953 eV per atom.

---

Entry 7:
Material: ScBe2Fe
Method: DFT, PBE
State: relaxed

Geometry as POSCAR:
```
ScBe2Fe
1.0
4.563 0.058 0.000
1.618 4.267 0.000
-3.090 -2.162 2.568
Fe Sc Be
1 1 2
Direct
0.500 0.500 0.000
0.750 0.250 0.500
0.250 0.750 0.500
0.000 0.000 0.000
```

Output
As for the magnetic moment: 0.3282 μB per atom. As for the energy above the lowest structure with this stoichiometry: 0.2383 eV per atom. For the formation energy, the calculation gives 60 kJ/mol of formula units.

---

Entry 8:
Material: CaZnRh2
Method: DFT, PBE
State: relaxed

Geometry as POSCAR:
```
CaZnRh2
1.0
5.132 0.001 0.000
2.103 4.681 0.000
-3.617 -2.341 2.787
Ca Rh Zn
1 2 1
Direct
0.750 0.250 0.500
0.000 0.000 0.000
0.250 0.750 0.500
0.500 0.500 0.000
```

Output
As for the magnetic moment: 0.0000 μB per atom. For the formation energy, the calculation gives -65 kJ/mol of formula units.

---

Entry 9:
Material: CsK8Rb3
Method: DFT, PBE
State: relaxed

Geometry as POSCAR:
```
CsK8Rb3
1.0
8.862 0.000 0.000
-4.431 7.675 0.000
0.000 0.000 14.394
K Rb Cs
8 3 1
Direct
0.504 0.008 0.753
0.333 0.667 0.999
0.163 0.327 0.248
0.333 0.667 0.500
0.504 0.496 0.753
0.163 0.837 0.248
0.992 0.496 0.753
0.673 0.837 0.248
0.000 0.000 0.939
0.667 0.333 0.434
0.667 0.333 0.064
0.000 0.000 0.564
```

Output
As for the magnetic moment: 0.0000 μB per atom. For the formation energy, the calculation gives 10 kJ/mol of formula units.

---

Entry 10:
Material: TaZnIn2
Method: DFT, PBE
State: relaxed

Geometry as POSCAR:
```
TaZnIn2
1.0
5.072 0.000 0.000
0.000 2.967 0.009
0.000 -0.016 5.285
Zn In Ta
1 2 1
Direct
0.500 0.626 0.780
0.000 0.125 0.949
0.500 0.125 0.310
0.000 0.625 0.461
```

Output
As for the magnetic moment: 0.0000 μB per atom. For the formation energy, the calculation gives 78 kJ/mol of formula units.

---

Entry 11:
Material: TlBi2Rh2
Method: DFT, PBE
State: relaxed

Geometry as POSCAR:
```
TlBi2Rh2
1.0
7.144 -0.052 0.128
3.593 5.404 0.899
3.463 0.980 6.429
Bi Rh Tl
4 4 2
Direct
0.239 0.137 0.191
0.761 0.863 0.809
0.566 0.363 0.309
0.434 0.637 0.691
0.359 0.787 0.010
0.156 0.713 0.490
0.844 0.287 0.510
0.641 0.213 0.990
0.914 0.750 0.250
0.086 0.250 0.750
```

Output
As for the magnetic moment: 0.0000 μB per atom. As for the energy above the lowest structure with this stoichiometry: 0.0000 eV per atom. For the formation energy, the calculation gives -37 kJ/mol of formula units.

---

Entry 12:
Material: ScTl2InGa
Method: DFT, PBE
State: relaxed

Geometry as POSCAR:
```
ScTl2InGa
1.0
-4.627 -1.054 -2.493
2.654 -1.655 -4.226
0.062 -4.978 1.989
Ga In Sc Tl
1 1 1 2
Direct
0.000 0.000 0.000
0.500 0.500 0.500
0.000 0.500 0.000
0.000 0.000 0.500
0.500 0.000 0.000
```

Output
As for the magnetic moment: 0.0000 μB per atom. For the formation energy, the calculation gives 130 kJ/mol of formula units.

---

Question: The highest magnetic moment belongs to which entry?
Answer: ScBe2Fe

---

Question: Which value of magnetic moment does entry 12 give?
Answer: 0.0000 μB per atom